Entry 1:
## LaCr2SnH (GGA-PBE)

Data for an optimized crystal structure of LaCr2SnH.

Structure (CIF):
```
data_LaCr2SnH
_chemical_formula_sum 'La1 Cr2 Sn1 H1'
_cell_length_a 4.320
_cell_length_b 4.320
_cell_length_c 4.385
_cell_angle_alpha 90.00
_cell_angle_beta 90.00
_cell_angle_gamma 90.00
_space_group_name_H-M_alt 'P 4/m m m'
_space_group_IT_number 123
_space_group_name_Hall '-P 4 2'
loop_
_atom_site_label
_atom_site_type_symbol
_atom_site_fract_x
_atom_site_fract_y
_atom_site_fract_z
La1 La 0.000 0.000 0.000
Cr1 Cr 0.000 0.500 0.500
Sn1 Sn 0.500 0.500 0.000
H1 H 0.500 0.500 0.500
```

Results
DFT total energy ... -5.612 eV per atom
Spin magnetization ... 0.0 μB per cell
Fermi-level density of states ... 7.50 states/eV per cell

***

Entry 2:
## Cr4Hg2Ir (GGA-PBE)

Data for an optimized crystal structure of Cr4Hg2Ir.

Structure (CIF):
```
data_Cr4Hg2Ir
_chemical_formula_sum 'Cr8 Hg4 Ir2'
_cell_length_a 4.693
_cell_length_b 4.693
_cell_length_c 14.266
_cell_angle_alpha 90.00
_cell_angle_beta 90.00
_cell_angle_gamma 90.00
_space_group_name_H-M_alt 'I 4/m m m'
_space_group_IT_number 139
_space_group_name_Hall '-I 4 2'
loop_
_atom_site_label
_atom_site_type_symbol
_atom_site_fract_x
_atom_site_fract_y
_atom_site_fract_z
Cr1 Cr 0.000 0.000 0.180
Cr2 Cr 0.000 0.500 0.000
Hg1 Hg 0.000 0.000 0.373
Ir1 Ir 0.000 0.000 0.000
```

Results
ΔE_f ... 0.984 eV per atom
DFT total energy ... -5.867 eV per atom
Spin magnetization ... 30.5 μB per cell
Fermi-level density of states ... 12.33 states/eV per cell

***

Entry 3:
## KBaMoCl6 (GGA-PBE)

Data for an optimized crystal structure of KBaMoCl6.

Structure (CIF):
```
data_KBaMoCl6
_chemical_formula_sum 'K2 Ba2 Mo2 Cl12'
_cell_length_a 7.4036
_cell_length_b 7.4036
_cell_length_c 12.6699
_cell_angle_alpha 90.00
_cell_angle_beta 90.00
_cell_angle_gamma 120.00
_space_group_name_H-M_alt 'P -3 1 c'
_space_group_IT_number 163
_space_group_name_Hall '-P 3 2c'
loop_
_atom_site_label
_atom_site_type_symbol
_atom_site_fract_x
_atom_site_fract_y
_atom_site_fract_z
K1 K 0.0000 0.0000 0.0000
Ba1 Ba 0.3333 0.6667 0.2500
Mo1 Mo 0.3333 0.6667 0.7500
Cl1 Cl 0.0623 0.3950 0.6357
```

Results
ΔE_f (raw) ... -1.64 eV per atom
DFT total energy ... -4.415 eV per atom
Spin magnetization ... 6.0 μB per cell
Fermi-level density of states ... 0.00 states/eV per cell

***

Entry 4:
## V5W3 (GGA-PBE)

Data for an optimized crystal structure of V5W3.

Structure (CIF):
```
data_V5W3
_chemical_formula_sum 'V10 W6'
_cell_length_a 3.614
_cell_length_b 3.614
_cell_length_c 18.053
_cell_angle_alpha 90.00
_cell_angle_beta 90.00
_cell_angle_gamma 90.00
_space_group_name_H-M_alt 'I -4 m 2'
_space_group_IT_number 119
_space_group_name_Hall 'I -4 -2'
loop_
_atom_site_label
_atom_site_type_symbol
_atom_site_fract_x
_atom_site_fract_y
_atom_site_fract_z
V1 V 0.000 0.000 0.000
V2 V 0.000 0.000 0.250
V3 V 0.000 0.500 0.127
W1 W 0.000 0.000 0.500
W2 W 0.000 0.500 0.627
```

Results
ΔE_f ... 0.147 eV per atom
DFT total energy ... -10.410 eV per atom
Spin magnetization ... 0.0 μB per cell
Polymorph energy (0 for the lowest one) ... 1.62 eV/f.u.
Fermi-level density of states ... 19.24 states/eV per cell

***

Entry 5:
## AcLaHoEr (GGA-PBE)

Data for an optimized crystal structure of AcLaHoEr.

Structure (CIF):
```
data_AcLaHoEr
_chemical_formula_sum 'Ac4 La4 Ho4 Er4'
_cell_length_a 8.315
_cell_length_b 8.315
_cell_length_c 8.315
_cell_angle_alpha 90.00
_cell_angle_beta 90.00
_cell_angle_gamma 90.00
_space_group_name_H-M_alt 'F -4 3 m'
_space_group_IT_number 216
_space_group_name_Hall 'F -4 2 3'
loop_
_atom_site_label
_atom_site_type_symbol
_atom_site_fract_x
_atom_site_fract_y
_atom_site_fract_z
Ac1 Ac 0.000 0.000 0.000
La1 La 0.000 0.000 0.500
Ho1 Ho 0.250 0.250 0.250
Er1 Er 0.250 0.250 0.750
```

Results
ΔE_f ... 0.090 eV per atom
DFT total energy ... -4.454 eV per atom
Spin magnetization ... 0.0 μB per cell
Fermi-level density of states ... 26.42 states/eV per cell

***

Entry 6:
## SrSi2Sb2 (GGA-PBE)

Data for an optimized crystal structure of SrSi2Sb2.

Structure (CIF):
```
data_SrSi2Sb2
_chemical_formula_sum 'Sr2 Si4 Sb4'
_cell_length_a 4.676
_cell_length_b 4.676
_cell_length_c 13.143
_cell_angle_alpha 90.00
_cell_angle_beta 90.00
_cell_angle_gamma 90.00
_space_group_name_H-M_alt 'I 4/m m m'
_space_group_IT_number 139
_space_group_name_Hall '-I 4 2'
loop_
_atom_site_label
_atom_site_type_symbol
_atom_site_fract_x
_atom_site_fract_y
_atom_site_fract_z
Sr1 Sr 0.000 0.000 0.000
Si1 Si 0.000 0.500 0.250
Sb1 Sb 0.000 0.000 0.367
```

Results
ΔE_f (raw) ... 0.10 eV per atom
DFT total energy ... -4.050 eV per atom
Spin magnetization ... 0.0 μB per cell
Fermi-level density of states ... 6.09 states/eV per cell

***

Entry 7:
## CrOsAu2 (GGA-PBE)

Data for an optimized crystal structure of CrOsAu2.

Structure (CIF):
```
data_CrOsAu2
_chemical_formula_sum 'Cr1 Os1 Au2'
_cell_length_a 2.836
_cell_length_b 2.836
_cell_length_c 7.904
_cell_angle_alpha 90.00
_cell_angle_beta 90.00
_cell_angle_gamma 90.00
_space_group_name_H-M_alt 'P 4 m m'
_space_group_IT_number 99
loop_
_space_group_symop_operation_xyz
'x,y,z'
'-y,x,z'
'-x,-y,z'
'y,-x,z'
'-x,y,z'
'y,x,z'
'x,-y,z'
'-y,-x,z'
loop_
_atom_site_label
_atom_site_type_symbol
_atom_site_fract_x
_atom_site_fract_y
_atom_site_fract_z
Cr1 Cr 0.000 0.000 0.000
Os1 Os 0.500 0.500 0.185
Au1 Au 0.000 0.000 0.460
Au2 Au 0.500 0.500 0.744
```

Results
ΔE_f ... 0.210 eV per atom
DFT total energy ... -6.642 eV per atom
Spin magnetization ... 1.3 μB per cell
Polymorph energy (0 for the lowest one) ... 0.00 eV/f.u.
Fermi-level density of states ... 2.54 states/eV per cell

***

Entry 8:
## CdReP2 (GGA-PBE)

Data for an optimized crystal structure of CdReP2.

Structure (CIF):
```
data_CdReP2
_chemical_formula_sum 'Cd1 Re1 P2'
_cell_length_a 3.674
_cell_length_b 4.129
_cell_length_c 4.641
_cell_angle_alpha 90.00
_cell_angle_beta 90.00
_cell_angle_gamma 90.00
_space_group_name_H-M_alt 'P m m m'
_space_group_IT_number 47
loop_
_space_group_symop_operation_xyz
'x,y,z'
'-x,-y,-z'
'-x,-y,z'
'x,y,-z'
'x,-y,-z'
'-x,y,z'
'-x,y,-z'
'x,-y,z'
loop_
_atom_site_label
_atom_site_type_symbol
_atom_site_fract_x
_atom_site_fract_y
_atom_site_fract_z
Cd1 Cd 0.000 0.000 0.000
Re1 Re 0.500 0.000 0.500
P1 P 0.500 0.500 0.237
```

Results
ΔE_f ... 0.241 eV per atom
DFT total energy ... -5.805 eV per atom
Spin magnetization ... 0.0 μB per cell
Fermi-level density of states ... 1.89 states/eV per cell